# 1
{
  "formula": "ZrCrGa2",
  "functional": "PBE-GGA",
  "state": "relaxed",
  "lattice_angstrom": [[4.0772, 0.0000, 0.0000], [0.0000, 4.0772, 0.0000], [0.0000, 0.0000, 4.0576]],
  "species": ["Zr", "Cr", "Ga", "Ga"],
  "fractional_positions": [[0.0000, 0.0000, 0.0000], [0.5000, 0.5000, 0.0000], [0.0000, 0.5000, 0.5000], [0.5000, 0.0000, 0.5000]],
  "dos_ef_per_ev_cell": 3.8,
  "spacegroup": "P4/mmm, No. 123",
  "delta_e_f_ev_per_atom": -0.2118
}

---

# 2
{
  "formula": "DyZr2Fe",
  "functional": "PBE-GGA",
  "state": "relaxed",
  "lattice_angstrom": [[3.2747, 0.0000, 0.0000], [-1.6373, 2.8359, 0.0000], [0.0000, 0.0000, 29.8126]],
  "species": ["Dy", "Dy", "Dy", "Zr", "Zr", "Zr", "Zr", "Zr", "Zr", "Fe", "Fe", "Fe"],
  "fractional_positions": [[0.0000, 0.0000, 0.0000], [0.3333, 0.6667, 0.6667], [0.6667, 0.3333, 0.3333], [0.0000, 0.0000, 0.1084], [0.0000, 0.0000, 0.8916], [0.3333, 0.6667, 0.5583], [0.3333, 0.6667, 0.7750], [0.6667, 0.3333, 0.2250], [0.6667, 0.3333, 0.4417], [0.0000, 0.0000, 0.5000], [0.3333, 0.6667, 0.1667], [0.6667, 0.3333, 0.8333]],
  "dos_ef_per_ev_cell": 15.2,
  "spacegroup": "R-3m, No. 166",
  "delta_e_f_ev_per_atom": 0.3122
}

---

# 3
{
  "formula": "BaCaS2Cl",
  "functional": "PBE-GGA",
  "state": "relaxed",
  "lattice_angstrom": [[5.7326, 0.0000, 0.0000], [0.0000, 5.7326, 0.0000], [0.0000, 0.0000, 5.6956]],
  "species": ["Ba", "Ca", "S", "S", "Cl"],
  "fractional_positions": [[0.0000, 0.0000, 0.0000], [0.5000, 0.5000, 0.5000], [0.0000, 0.5000, 0.0000], [0.5000, 0.0000, 0.0000], [0.0000, 0.0000, 0.5000]],
  "dos_ef_per_ev_cell": 4.8,
  "spacegroup": "P4/mmm, No. 123",
  "formation_energy_uncorrected_mev_per_atom": -923.9
}

---

# 4
{
  "formula": "Na2ZnCuH6",
  "functional": "PBE-GGA",
  "state": "relaxed",
  "lattice_angstrom": [[-2.3139, 2.3139, 4.7154], [2.3139, -2.3139, 4.7154], [2.3139, 2.3139, -4.7154]],
  "species": ["Na", "Na", "Zn", "Cu", "H", "H", "H", "H", "H", "H"],
  "fractional_positions": [[0.0000, 0.5000, 0.5000], [0.5000, 0.0000, 0.5000], [0.2563, 0.2563, 0.0000], [0.7524, 0.7524, 0.0000], [0.4311, 0.4311, 0.0000], [0.4580, 0.4580, 0.5179], [0.4580, 0.9402, 0.0000], [0.9292, 0.9292, 0.0000], [0.9402, 0.4580, 0.0000], [0.9402, 0.9402, 0.4821]],
  "dos_ef_per_ev_cell": 0.5,
  "spacegroup": "I4mm, No. 107"
}

---

# 5
{
  "formula": "Y2RhBr",
  "functional": "PBE-GGA",
  "state": "relaxed",
  "lattice_angstrom": [[4.1926, 0.0000, 0.0000], [0.0000, 5.8832, 0.0000], [0.0000, 0.0000, 7.7587]],
  "species": ["Y", "Y", "Y", "Y", "Rh", "Rh", "Br", "Br"],
  "fractional_positions": [[0.0000, 0.0000, 0.2373], [0.0000, 0.0000, 0.7627], [0.5000, 0.5000, 0.2627], [0.5000, 0.5000, 0.7373], [0.0000, 0.5000, 0.5000], [0.5000, 0.0000, 0.0000], [0.0000, 0.5000, 0.0000], [0.5000, 0.0000, 0.5000]],
  "dos_ef_per_ev_cell": 3.6,
  "spacegroup": "Immm, No. 71",
  "formation_energy_uncorrected_mev_per_atom": -675.5
}

---

# 6
{
  "formula": "TcPbAu2",
  "functional": "PBE-GGA",
  "state": "relaxed",
  "lattice_angstrom": [[5.6578, 0.0000, 0.0000], [0.0000, 8.6210, 0.0000], [0.0000, 0.0000, 3.1437]],
  "species": ["Tc", "Tc", "Pb", "Pb", "Au", "Au", "Au", "Au"],
  "fractional_positions": [[0.0000, 0.0000, 0.0000], [0.5000, 0.5000, 0.0000], [0.0000, 0.5000, 0.0000], [0.5000, 0.0000, 0.0000], [0.2500, 0.2500, 0.5000], [0.2500, 0.7500, 0.5000], [0.7500, 0.2500, 0.5000], [0.7500, 0.7500, 0.5000]],
  "dos_ef_per_ev_cell": 4.6,
  "spacegroup": "Cmmm, No. 65",
  "delta_e_f_ev_per_atom": 0.4352
}

---

# 7
{
  "formula": "MgWSe2Br",
  "functional": "PBE-GGA",
  "state": "relaxed",
  "lattice_angstrom": [[4.9056, 0.0000, 0.0000], [0.0000, 4.9056, 0.0000], [0.0000, 0.0000, 5.3774]],
  "species": ["Mg", "W", "Se", "Se", "Br"],
  "fractional_positions": [[0.0000, 0.0000, 0.0000], [0.5000, 0.5000, 0.5000], [0.0000, 0.5000, 0.5000], [0.5000, 0.0000, 0.5000], [0.5000, 0.5000, 0.0000]],
  "dos_ef_per_ev_cell": 4.7,
  "spacegroup": "P4/mmm, No. 123",
  "formation_energy_uncorrected_mev_per_atom": 133.5
}

---

# 8
{
  "formula": "LaSc2Rh2",
  "functional": "PBE-GGA",
  "state": "relaxed",
  "lattice_angstrom": [[8.0651, 0.0000, 0.0000], [0.0000, 8.0651, 0.0000], [0.0000, 0.0000, 3.0822]],
  "species": ["La", "La", "Sc", "Sc", "Sc", "Sc", "Rh", "Rh", "Rh", "Rh"],
  "fractional_positions": [[0.0000, 0.0000, 0.0000], [0.5000, 0.5000, 0.0000], [0.1328, 0.3672, 0.0000], [0.3672, 0.8672, 0.0000], [0.6328, 0.1328, 0.0000], [0.8672, 0.6328, 0.0000], [0.1571, 0.6571, 0.5000], [0.3429, 0.1571, 0.5000], [0.6571, 0.8429, 0.5000], [0.8429, 0.3429, 0.5000]],
  "dos_ef_per_ev_cell": 8.2,
  "spacegroup": "P4/mbm, No. 127",
  "delta_e_f_ev_per_atom": -0.6140
}

---

# 9
{
  "formula": "Zr3Be",
  "functional": "PBE-GGA",
  "state": "relaxed",
  "lattice_angstrom": [[3.0128, 0.0000, 0.0000], [0.0000, 3.0409, 0.0000], [0.0000, 0.0000, 9.0772]],
  "species": ["Zr", "Zr", "Zr", "Be"],
  "fractional_positions": [[0.0000, 0.0000, 0.0000], [0.0000, 0.5000, 0.3254], [0.5000, 0.5000, 0.7450], [0.5000, 0.0000, 0.4968]],
  "dos_ef_per_ev_cell": 4.4,
  "spacegroup": "Pmm2, No. 25",
  "delta_e_f_ev_per_atom": 0.2720
}

---

# 10
{
  "formula": "Pm2ZnSi",
  "functional": "PBE-GGA",
  "state": "relaxed",
  "lattice_angstrom": [[5.0082, 0.0000, 0.0000], [0.0000, 5.0082, 0.0000], [0.0000, 0.0000, 3.7854]],
  "species": ["Pm", "Pm", "Zn", "Si"],
  "fractional_positions": [[0.0000, 0.5000, 0.0000], [0.5000, 0.0000, 0.0000], [0.0000, 0.0000, 0.5000], [0.5000, 0.5000, 0.5000]],
  "dos_ef_per_ev_cell": 1.9,
  "spacegroup": "P4/mmm, No. 123",
  "formation_energy_uncorrected_mev_per_atom": -445.1
}

---

# 11
{
  "formula": "Na3Cd7Hg",
  "functional": "PBE-GGA",
  "state": "relaxed",
  "lattice_angstrom": [[1.7172, -11.9638, 0.0000], [1.7172, 11.9638, 0.0000], [0.0000, 0.0000, 14.3419]],
  "species": ["Na", "Na", "Na", "Na", "Na", "Na", "Cd", "Cd", "Cd", "Cd", "Cd", "Cd", "Cd", "Cd", "Cd", "Cd", "Cd", "Cd", "Cd", "Cd", "Hg", "Hg"],
  "fractional_positions": [[0.1352, 0.8648, 0.5633], [0.1352, 0.8648, 0.9367], [0.2608, 0.7392, 0.2500], [0.7392, 0.2608, 0.7500], [0.8648, 0.1352, 0.0633], [0.8648, 0.1352, 0.4367], [0.2772, 0.7228, 0.5696], [0.2772, 0.7228, 0.9304], [0.3891, 0.6109, 0.6391], [0.3891, 0.6109, 0.8609], [0.3989, 0.6011, 0.2500], [0.4811, 0.5189, 0.0932], [0.4811, 0.5189, 0.4068], [0.5189, 0.4811, 0.5932], [0.5189, 0.4811, 0.9068], [0.6011, 0.3989, 0.7500], [0.6109, 0.3891, 0.1391], [0.6109, 0.3891, 0.3609], [0.7228, 0.2772, 0.0696], [0.7228, 0.2772, 0.4304], [0.0283, 0.9717, 0.2500], [0.9717, 0.0283, 0.7500]],
  "dos_ef_per_ev_cell": 6.3,
  "spacegroup": "Cmcm, No. 63",
  "delta_e_f_ev_per_atom": -0.0144
}

---

# 12
{
  "formula": "LiFeP",
  "functional": "PBE-GGA",
  "state": "relaxed",
  "lattice_angstrom": [[5.3360, 0.0000, 0.0000], [0.0000, 5.3360, 0.0000], [0.0000, 0.0000, 5.1582]],
  "species": ["Li", "Li", "Li", "Li", "Fe", "Fe", "Fe", "Fe", "P", "P", "P", "P"],
  "fractional_positions": [[0.1864, 0.1864, 0.0000], [0.3136, 0.6864, 0.5000], [0.6864, 0.3136, 0.5000], [0.8136, 0.8136, 0.0000], [0.0000, 0.5000, 0.2500], [0.0000, 0.5000, 0.7500], [0.5000, 0.0000, 0.2500], [0.5000, 0.0000, 0.7500], [0.2269, 0.2269, 0.5000], [0.2731, 0.7269, 0.0000], [0.7269, 0.2731, 0.0000], [0.7731, 0.7731, 0.5000]],
  "dos_ef_per_ev_cell": 6.2,
  "spacegroup": "P4_2/mnm, No. 136",
  "delta_e_f_ev_per_atom": -0.2512
}

---

# 13
{
  "formula": "La2Ho5TmSc",
  "functional": "PBE-GGA",
  "state": "relaxed",
  "lattice_angstrom": [[2.7763, -10.0069, 0.0000], [2.7763, 10.0069, 0.0000], [0.0000, 0.0000, 10.3908]],
  "species": ["La", "La", "La", "La", "Ho", "Ho", "Ho", "Ho", "Ho", "Ho", "Ho", "Ho", "Ho", "Ho", "Tm", "Tm", "Sc", "Sc"],
  "fractional_positions": [[0.1139, 0.8861, 0.5000], [0.1158, 0.8842, 0.9213], [0.8842, 0.1158, 0.4213], [0.8861, 0.1139, 0.0000], [0.0153, 0.9847, 0.2032], [0.2749, 0.7251, 0.5053], [0.2974, 0.7026, 0.8867], [0.3742, 0.6258, 0.2051], [0.4841, 0.5159, 0.9276], [0.5159, 0.4841, 0.4276], [0.6258, 0.3742, 0.7051], [0.7026, 0.2974, 0.3867], [0.7251, 0.2749, 0.0053], [0.9847, 0.0153, 0.7032], [0.4069, 0.5931, 0.6486], [0.5931, 0.4069, 0.1486], [0.1969, 0.8031, 0.2000], [0.8031, 0.1969, 0.7000]],
  "dos_ef_per_ev_cell": 23.1,
  "spacegroup": "Cmc2_1, No. 36",
  "delta_e_f_ev_per_atom": 0.1524
}

---

# 14
{
  "formula": "AlAg2S3",
  "functional": "PBE-GGA",
  "state": "relaxed",
  "lattice_angstrom": [[3.7445, 0.0000, 0.0000], [0.0000, 11.8419, 0.0000], [0.0000, 0.0000, 6.0106]],
  "species": ["Al", "Al", "Ag", "Ag", "Ag", "Ag", "S", "S", "S", "S", "S", "S"],
  "fractional_positions": [[0.0000, 0.0000, 0.0000], [0.5000, 0.5000, 0.5000], [0.0000, 0.3378, 0.0200], [0.0000, 0.6622, 0.0200], [0.5000, 0.1622, 0.5200], [0.5000, 0.8378, 0.5200], [0.0000, 0.1581, 0.7902], [0.0000, 0.5000, 0.7240], [0.0000, 0.8419, 0.7902], [0.5000, 0.0000, 0.2240], [0.5000, 0.3419, 0.2902], [0.5000, 0.6581, 0.2902]],
  "dos_ef_per_ev_cell": 7.5,
  "spacegroup": "Imm2, No. 44",
  "formation_energy_uncorrected_mev_per_atom": -441.8
}

---

| no. | DFT total energy (eV/cell) |
| --- | --- |
| 1 | -25.07 |
| 2 | -86.74 |
| 3 | -18.65 |
| 4 | -28.39 |
| 5 | -49.31 |
| 6 | -37.78 |
| 7 | -22.52 |
| 8 | -70.73 |
| 9 | -28.28 |
| 10 | -17.98 |
| 11 | -21.65 |
| 12 | -66.16 |
| 13 | -84.35 |
| 14 | -48.96 |